Entry 1:
# PBE LaBeHg2, optimized geometry
data_LaBeHg2
_chemical_formula_sum 'La2 Be2 Hg4'
_symmetry_space_group_name_H-M 'C 1 m 1'
_symmetry_Int_Tables_number 8
_cell_length_a 7.618
_cell_length_b 4.372
_cell_length_c 6.276
_cell_angle_alpha 90.00
_cell_angle_beta 113.74
_cell_angle_gamma 90.00
loop_
_symmetry_equiv_pos_as_xyz
'x,y,z'
'x,-y,z'
'x+1/2,y+1/2,z'
'x+1/2,-y+1/2,z'
loop_
_atom_site_label
_atom_site_fract_x
_atom_site_fract_y
_atom_site_fract_z
La1 0.000 0.000 0.000
Be1 0.208 0.000 0.618
Hg1 0.044 0.500 0.629
Hg2 0.282 0.500 0.344
# ΔE to the lowest computed polymorph = 1.0 meV/atom
# ρ = 9.53 g/cm³
# DOS at the Fermi energy = 6.3 states/eV/cell
# Formation energy from the elements = -2.5 kcal/mol of atoms

Entry 2:
# PBE LaBeHg2, optimized geometry
data_LaBeHg2
_chemical_formula_sum 'La1 Be1 Hg2'
_symmetry_space_group_name_H-M 'P 4/m m m'
_symmetry_Int_Tables_number 123
_symmetry_space_group_name_Hall '-P 4 2'
_cell_length_a 3.408
_cell_length_b 3.408
_cell_length_c 7.575
_cell_angle_alpha 90.00
_cell_angle_beta 90.00
_cell_angle_gamma 90.00
loop_
_atom_site_label
_atom_site_fract_x
_atom_site_fract_y
_atom_site_fract_z
La1 0.000 0.000 0.000
Be1 0.000 0.000 0.500
Hg1 0.500 0.500 0.303
# ΔE to the lowest computed polymorph = 148.6 meV/atom
# ρ = 10.36 g/cm³
# DOS at the Fermi energy = 3.1 states/eV/cell
# Formation energy from the elements = 1.0 kcal/mol of atoms

Entry 3:
# PBE LaBeHg2, optimized geometry
data_LaBeHg2
_chemical_formula_sum 'La4 Be4 Hg8'
_symmetry_space_group_name_H-M 'F -4 3 m'
_symmetry_Int_Tables_number 216
_symmetry_space_group_name_Hall 'F -4 2 3'
_cell_length_a 7.162
_cell_length_b 7.162
_cell_length_c 7.162
_cell_angle_alpha 90.00
_cell_angle_beta 90.00
_cell_angle_gamma 90.00
loop_
_atom_site_label
_atom_site_fract_x
_atom_site_fract_y
_atom_site_fract_z
La1 0.000 0.000 0.000
Be1 0.250 0.250 0.250
Hg1 0.000 0.000 0.500
Hg2 0.250 0.250 0.750
# ΔE to the lowest computed polymorph = 80.5 meV/atom
# ρ = 9.93 g/cm³
# DOS at the Fermi energy = 8.6 states/eV/cell
# Formation energy from the elements = -0.6 kcal/mol of atoms

Entry 4:
# PBE LaBeHg2, optimized geometry
data_LaBeHg2
_chemical_formula_sum 'La1 Be1 Hg2'
_symmetry_space_group_name_H-M 'P 4 m m'
_symmetry_Int_Tables_number 99
_cell_length_a 3.464
_cell_length_b 3.464
_cell_length_c 7.566
_cell_angle_alpha 90.00
_cell_angle_beta 90.00
_cell_angle_gamma 90.00
loop_
_symmetry_equiv_pos_as_xyz
'x,y,z'
'-y,x,z'
'-x,-y,z'
'y,-x,z'
'-x,y,z'
'y,x,z'
'x,-y,z'
'-y,-x,z'
loop_
_atom_site_label
_atom_site_fract_x
_atom_site_fract_y
_atom_site_fract_z
La1 0.000 0.000 0.000
Be1 0.500 0.500 0.281
Hg1 0.000 0.000 0.424
Hg2 0.500 0.500 0.698
# ΔE to the lowest computed polymorph = 151.6 meV/atom
# ρ = 10.04 g/cm³
# DOS at the Fermi energy = 3.1 states/eV/cell
# Formation energy from the elements = 1.0 kcal/mol of atoms

Entry 5:
# PBE LaBeHg2, optimized geometry
data_LaBeHg2
_chemical_formula_sum 'La1 Be1 Hg2'
_symmetry_space_group_name_H-M 'P m m m'
_symmetry_Int_Tables_number 47
_cell_length_a 4.408
_cell_length_b 4.561
_cell_length_c 4.880
_cell_angle_alpha 90.00
_cell_angle_beta 90.00
_cell_angle_gamma 90.00
loop_
_symmetry_equiv_pos_as_xyz
'x,y,z'
'-x,-y,-z'
'-x,-y,z'
'x,y,-z'
'x,-y,-z'
'-x,y,z'
'-x,y,-z'
'x,-y,z'
loop_
_atom_site_label
_atom_site_fract_x
_atom_site_fract_y
_atom_site_fract_z
La1 0.000 0.000 0.000
Be1 0.500 0.500 0.000
Hg1 0.000 0.500 0.500
Hg2 0.500 0.000 0.500
# ΔE to the lowest computed polymorph = 203.7 meV/atom
# ρ = 9.29 g/cm³
# DOS at the Fermi energy = 5.6 states/eV/cell
# Formation energy from the elements = 2.2 kcal/mol of atoms

Entry 6:
# PBE LaBeHg2, optimized geometry
data_LaBeHg2
_chemical_formula_sum 'La2 Be2 Hg4'
_symmetry_space_group_name_H-M 'I m m m'
_symmetry_Int_Tables_number 71
_symmetry_space_group_name_Hall '-I 2 2'
_cell_length_a 4.515
_cell_length_b 5.453
_cell_length_c 7.674
_cell_angle_alpha 90.00
_cell_angle_beta 90.00
_cell_angle_gamma 90.00
loop_
_atom_site_label
_atom_site_fract_x
_atom_site_fract_y
_atom_site_fract_z
La1 0.000 0.000 0.000
Be1 0.000 0.000 0.500
Hg1 0.000 0.500 0.211
# ΔE to the lowest computed polymorph = 61.5 meV/atom
# ρ = 9.65 g/cm³
# DOS at the Fermi energy = 4.4 states/eV/cell
# Formation energy from the elements = -1.1 kcal/mol of atoms

Entry 7:
# PBE LaBeHg4, optimized geometry
data_LaBeHg4
_chemical_formula_sum 'La4 Be4 Hg16'
_symmetry_space_group_name_H-M 'F -4 3 m'
_symmetry_Int_Tables_number 216
_symmetry_space_group_name_Hall 'F -4 2 3'
_cell_length_a 8.459
_cell_length_b 8.459
_cell_length_c 8.459
_cell_angle_alpha 90.00
_cell_angle_beta 90.00
_cell_angle_gamma 90.00
loop_
_atom_site_label
_atom_site_fract_x
_atom_site_fract_y
_atom_site_fract_z
La1 0.000 0.000 0.000
Be1 0.250 0.250 0.750
Hg1 0.125 0.125 0.375
# ρ = 10.43 g/cm³
# DOS at the Fermi energy = 13.2 states/eV/cell
# Formation energy from the elements = 4.9 kcal/mol of atoms

Entry 8:
# PBE LaBe2Hg2, optimized geometry
data_LaBe2Hg2
_chemical_formula_sum 'La2 Be4 Hg4'
_symmetry_space_group_name_H-M 'I 4/m m m'
_symmetry_Int_Tables_number 139
_symmetry_space_group_name_Hall '-I 4 2'
_cell_length_a 4.367
_cell_length_b 4.367
_cell_length_c 10.406
_cell_angle_alpha 90.00
_cell_angle_beta 90.00
_cell_angle_gamma 90.00
loop_
_atom_site_label
_atom_site_fract_x
_atom_site_fract_y
_atom_site_fract_z
La1 0.000 0.000 0.000
Be1 0.000 0.500 0.250
Hg1 0.000 0.000 0.359
# ρ = 9.34 g/cm³
# DOS at the Fermi energy = 6.7 states/eV/cell
# Formation energy from the elements = -2.0 kcal/mol of atoms

Entry 9:
# PBE LaBeHg2, optimized geometry
data_LaBeHg2
_chemical_formula_sum 'La2 Be2 Hg4'
_symmetry_space_group_name_H-M 'C 1 2/m 1'
_symmetry_Int_Tables_number 12
_cell_length_a 6.110
_cell_length_b 11.160
_cell_length_c 3.432
_cell_angle_alpha 90.00
_cell_angle_beta 120.18
_cell_angle_gamma 90.00
loop_
_symmetry_equiv_pos_as_xyz
'x,y,z'
'-x,-y,-z'
'-x,y,-z'
'x,-y,z'
'x+1/2,y+1/2,z'
'-x+1/2,-y+1/2,-z'
'-x+1/2,y+1/2,-z'
'x+1/2,-y+1/2,z'
loop_
_atom_site_label
_atom_site_fract_x
_atom_site_fract_y
_atom_site_fract_z
La1 0.000 0.000 0.000
Be1 0.000 0.500 0.000
Hg1 0.250 0.250 0.500
# ΔE to the lowest computed polymorph = 393.4 meV/atom
# ρ = 9.02 g/cm³
# DOS at the Fermi energy = 7.8 states/eV/cell
# Formation energy from the elements = 6.6 kcal/mol of atoms

Entry 10:
# PBE LaBeHg2, optimized geometry
data_LaBeHg2
_chemical_formula_sum 'La4 Be4 Hg8'
_symmetry_space_group_name_H-M 'I -4 2 d'
_symmetry_Int_Tables_number 122
_symmetry_space_group_name_Hall 'I -4 2bw'
_cell_length_a 5.097
_cell_length_b 5.097
_cell_length_c 16.612
_cell_angle_alpha 90.00
_cell_angle_beta 90.00
_cell_angle_gamma 90.00
loop_
_atom_site_label
_atom_site_fract_x
_atom_site_fract_y
_atom_site_fract_z
La1 0.000 0.000 0.000
Be1 0.000 0.000 0.500
Hg1 0.113 0.250 0.625
# ΔE to the lowest computed polymorph = 184.8 meV/atom
# ρ = 8.45 g/cm³
# DOS at the Fermi energy = 12.3 states/eV/cell
# Formation energy from the elements = 1.8 kcal/mol of atoms

Entry 11:
# PBE LaBeHg3, optimized geometry
data_LaBeHg3
_chemical_formula_sum 'La1 Be1 Hg3'
_symmetry_space_group_name_H-M 'P m -3 m'
_symmetry_Int_Tables_number 221
_symmetry_space_group_name_Hall '-P 4 2 3'
_cell_length_a 6.231
_cell_length_b 6.231
_cell_length_c 6.231
_cell_angle_alpha 90.00
_cell_angle_beta 90.00
_cell_angle_gamma 90.00
loop_
_atom_site_label
_atom_site_fract_x
_atom_site_fract_y
_atom_site_fract_z
La1 0.000 0.000 0.000
Be1 0.500 0.500 0.500
Hg1 0.000 0.000 0.500
# ΔE to the lowest computed polymorph = 1089.2 meV/atom
# ρ = 5.15 g/cm³
# DOS at the Fermi energy = 7.1 states/eV/cell
# Formation energy from the elements = 22.1 kcal/mol of atoms

Entry 12:
# PBE LaMgBeHg2, optimized geometry
data_LaMgBeHg2
_chemical_formula_sum 'La1 Mg1 Be1 Hg2'
_symmetry_space_group_name_H-M 'P 4/m m m'
_symmetry_Int_Tables_number 123
_symmetry_space_group_name_Hall '-P 4 2'
_cell_length_a 6.133
_cell_length_b 6.133
_cell_length_c 6.521
_cell_angle_alpha 90.00
_cell_angle_beta 90.00
_cell_angle_gamma 90.00
loop_
_atom_site_label
_atom_site_fract_x
_atom_site_fract_y
_atom_site_fract_z
La1 0.000 0.000 0.000
Mg1 0.000 0.000 0.500
Be1 0.500 0.500 0.500
Hg1 0.000 0.500 0.000
# ρ = 3.88 g/cm³
# DOS at the Fermi energy = 6.8 states/eV/cell
# Formation energy from the elements = 27.1 kcal/mol of atoms

Entry 13:
# PBE La2BeHgN, optimized geometry
data_La2BeHgN
_chemical_formula_sum 'La2 Be1 Hg1 N1'
_symmetry_space_group_name_H-M 'P 4/m m m'
_symmetry_Int_Tables_number 123
_symmetry_space_group_name_Hall '-P 4 2'
_cell_length_a 5.533
_cell_length_b 5.533
_cell_length_c 3.401
_cell_angle_alpha 90.00
_cell_angle_beta 90.00
_cell_angle_gamma 90.00
loop_
_atom_site_label
_atom_site_fract_x
_atom_site_fract_y
_atom_site_fract_z
La1 0.000 0.500 0.000
Be1 0.000 0.000 0.500
Hg1 0.500 0.500 0.500
N1 0.000 0.000 0.000
# ρ = 8.00 g/cm³
# DOS at the Fermi energy = 4.2 states/eV/cell
# ΔE_f (raw) = -604 meV per atom

Entry 14:
# PBE La2BeNiHg, optimized geometry
data_La2BeNiHg
_chemical_formula_sum 'La2 Be1 Ni1 Hg1'
_symmetry_space_group_name_H-M 'P 4/m m m'
_symmetry_Int_Tables_number 123
_symmetry_space_group_name_Hall '-P 4 2'
_cell_length_a 5.418
_cell_length_b 5.418
_cell_length_c 4.244
_cell_angle_alpha 90.00
_cell_angle_beta 90.00
_cell_angle_gamma 90.00
loop_
_atom_site_label
_atom_site_fract_x
_atom_site_fract_y
_atom_site_fract_z
La1 0.000 0.500 0.000
Be1 0.000 0.000 0.500
Ni1 0.000 0.000 0.000
Hg1 0.500 0.500 0.500
# ρ = 7.28 g/cm³
# DOS at the Fermi energy = 3.8 states/eV/cell
# Formation energy from the elements = -4.5 kcal/mol of atoms

Entry 15:
# PBE La2BeHgOs, optimized geometry
data_La2BeHgOs
_chemical_formula_sum 'La2 Be1 Hg1 Os1'
_symmetry_space_group_name_H-M 'P 4/m m m'
_symmetry_Int_Tables_number 123
_symmetry_space_group_name_Hall '-P 4 2'
_cell_length_a 5.538
_cell_length_b 5.538
_cell_length_c 4.459
_cell_angle_alpha 90.00
_cell_angle_beta 90.00
_cell_angle_gamma 90.00
loop_
_atom_site_label
_atom_site_fract_x
_atom_site_fract_y
_atom_site_fract_z
La1 0.000 0.500 0.000
Be1 0.000 0.000 0.500
Hg1 0.500 0.500 0.500
Os1 0.000 0.000 0.000
# ρ = 8.23 g/cm³
# DOS at the Fermi energy = 3.0 states/eV/cell
# Formation energy from the elements = -2.4 kcal/mol of atoms

Entry 16:
# PBE La3Be2HgPd9, optimized geometry
data_La3Be2HgPd9
_chemical_formula_sum 'La3 Be2 Hg1 Pd9'
_symmetry_space_group_name_H-M 'P -3 m 1'
_symmetry_Int_Tables_number 164
_symmetry_space_group_name_Hall '-P 3 2"'
_cell_length_a 6.9468
_cell_length_b 6.9468
_cell_length_c 7.0922
_cell_angle_alpha 90.00
_cell_angle_beta 90.00
_cell_angle_gamma 120.00
loop_
_atom_site_label
_atom_site_fract_x
_atom_site_fract_y
_atom_site_fract_z
La1 0.0000 0.0000 0.0000
La2 0.3333 0.6667 0.6647
Be1 0.3333 0.6667 0.1213
Hg1 0.0000 0.0000 0.5000
Pd1 0.0000 0.5000 0.0000
Pd2 0.1928 0.3856 0.3180
# ρ = 8.93 g/cm³
# DOS at the Fermi energy = 5.8 states/eV/cell
# Formation energy from the elements = -12.9 kcal/mol of atoms

Entry 17:
# PBE LaBeHgPd2, optimized geometry
data_LaBeHgPd2
_chemical_formula_sum 'La1 Be1 Hg1 Pd2'
_symmetry_space_group_name_H-M 'P 4/m m m'
_symmetry_Int_Tables_number 123
_symmetry_space_group_name_Hall '-P 4 2'
_cell_length_a 4.637
_cell_length_b 4.637
_cell_length_c 4.570
_cell_angle_alpha 90.00
_cell_angle_beta 90.00
_cell_angle_gamma 90.00
loop_
_atom_site_label
_atom_site_fract_x
_atom_site_fract_y
_atom_site_fract_z
La1 0.000 0.000 0.000
Be1 0.500 0.500 0.500
Hg1 0.500 0.500 0.000
Pd1 0.000 0.500 0.500
# ρ = 9.48 g/cm³
# DOS at the Fermi energy = 2.4 states/eV/cell
# Formation energy from the elements = -9.6 kcal/mol of atoms

Entry 18:
# PBE LaBeHgPt2, optimized geometry
data_LaBeHgPt2
_chemical_formula_sum 'La1 Be1 Hg1 Pt2'
_symmetry_space_group_name_H-M 'P 4/m m m'
_symmetry_Int_Tables_number 123
_symmetry_space_group_name_Hall '-P 4 2'
_cell_length_a 4.618
_cell_length_b 4.618
_cell_length_c 4.584
_cell_angle_alpha 90.00
_cell_angle_beta 90.00
_cell_angle_gamma 90.00
loop_
_atom_site_label
_atom_site_fract_x
_atom_site_fract_y
_atom_site_fract_z
La1 0.000 0.000 0.000
Be1 0.500 0.500 0.500
Hg1 0.500 0.500 0.000
Pt1 0.000 0.500 0.500
# ρ = 12.55 g/cm³
# DOS at the Fermi energy = 2.1 states/eV/cell
# Formation energy from the elements = -12.4 kcal/mol of atoms

Entry 19:
# PBE La2BeZnHg, optimized geometry
data_La2BeZnHg
_chemical_formula_sum 'La2 Be1 Zn1 Hg1'
_symmetry_space_group_name_H-M 'P 4/m m m'
_symmetry_Int_Tables_number 123
_symmetry_space_group_name_Hall '-P 4 2'
_cell_length_a 5.763
_cell_length_b 5.763
_cell_length_c 4.194
_cell_angle_alpha 90.00
_cell_angle_beta 90.00
_cell_angle_gamma 90.00
loop_
_atom_site_label
_atom_site_fract_x
_atom_site_fract_y
_atom_site_fract_z
La1 0.000 0.500 0.000
Be1 0.000 0.000 0.500
Zn1 0.000 0.000 0.000
Hg1 0.500 0.500 0.500
# ρ = 6.59 g/cm³
# DOS at the Fermi energy = 5.5 states/eV/cell
# Formation energy from the elements = 1.7 kcal/mol of atoms

Entry 20:
# PBE LaBeZn2Hg, optimized geometry
data_LaBeZn2Hg
_chemical_formula_sum 'La1 Be1 Zn2 Hg1'
_symmetry_space_group_name_H-M 'P 4/m m m'
_symmetry_Int_Tables_number 123
_symmetry_space_group_name_Hall '-P 4 2'
_cell_length_a 5.921
_cell_length_b 5.921
_cell_length_c 6.128
_cell_angle_alpha 90.00
_cell_angle_beta 90.00
_cell_angle_gamma 90.00
loop_
_atom_site_label
_atom_site_fract_x
_atom_site_fract_y
_atom_site_fract_z
La1 0.000 0.000 0.000
Be1 0.500 0.500 0.500
Zn1 0.000 0.500 0.000
Hg1 0.000 0.000 0.500
# ρ = 3.71 g/cm³
# DOS at the Fermi energy = 7.0 states/eV/cell
# Formation energy from the elements = 29.0 kcal/mol of atoms